# 1
Ba2Sr2S | PBE-GGA | relaxed

Properties
* VASP energy: -2.76 eV per atom
* raw formation energy: -0.4967 eV/atom
* relative energy among the computed polymorphs: 0.0 kJ/mol of atoms
* total magnetization: 0.00 μB/f.u.

The structure in POSCAR format:
```
Ba2Sr2S
1.0
-8.163 -2.024 0.365
1.374 -4.255 7.133
-1.398 6.372 4.071
Sr S Ba
4 2 4
direct
0.666 0.834 0.500
0.834 0.334 0.500
0.166 0.666 0.500
0.334 0.166 0.500
0.000 0.000 0.000
0.500 0.500 0.000
0.182 0.318 0.000
0.318 0.818 0.000
0.682 0.182 0.000
0.818 0.682 0.000
```



# 2
SrPuBO6 | PBE-GGA | relaxed

Properties
* VASP energy: -8.31 eV per atom
* raw formation energy: -2.4842 eV/atom
* total magnetization: 1.00 μB/f.u.

The structure in POSCAR format:
```
SrPuBO6
1.0
-3.535 0.290 4.794
-1.860 -4.491 2.025
4.176 0.799 3.620
Pu O Sr B
1 6 1 1
direct
0.344 0.296 0.524
0.957 0.719 0.643
0.038 0.371 0.289
0.509 0.377 0.780
0.710 0.881 0.314
0.452 0.476 0.323
0.232 0.103 0.709
0.869 0.112 0.001
0.888 0.665 0.418
```



# 3
RbMgSiBr2 | PBE-GGA | relaxed

Properties
* VASP energy: -2.68 eV per atom
* raw formation energy: -0.4182 eV/atom
* total magnetization: 0.00 μB/f.u.

The structure in POSCAR format:
```
RbMgSiBr2
1.0
5.800 0.000 0.000
0.000 5.083 0.000
0.000 0.000 5.800
Br Si Mg Rb
2 1 1 1
direct
0.000 0.000 0.500
0.500 0.000 0.000
0.000 0.000 0.000
0.000 0.500 0.000
0.500 0.500 0.500
```



# 4
TiInPbCl6 | PBE-GGA | relaxed

Properties
* VASP energy: -4.09 eV per atom
* raw formation energy: -1.2627 eV/atom
* total magnetization: 1.00 μB/f.u.

The structure in POSCAR format:
```
TiInPbCl6
1.0
-0.439 4.329 -5.591
-2.415 -2.447 -6.194
-6.182 1.646 1.760
Cl In Ti Pb
6 1 1 1
direct
0.343 0.609 0.284
0.048 0.609 0.716
0.609 0.048 0.284
0.343 0.048 0.716
0.609 0.343 0.716
0.048 0.343 0.284
0.000 0.000 0.000
0.333 0.333 0.500
0.667 0.667 0.500
```